{
  "formula": "Zr2AgSe",
  "functional": "GGA-PBE",
  "state": "optimized geometry",
  "raw_formation_energy_mev_per_atom": -289,
  "lattice_angstrom": [[7.4736, 0.0000, 0.0000], [0.0000, 7.4736, 0.0000], [3.7368, 3.7368, 3.0820]],
  "species": ["Zr", "Zr", "Zr", "Zr", "Se", "Se", "Ag", "Ag"],
  "fractional_positions": [[0.3750, 0.3977, 0.7500], [0.6023, 0.1250, 0.2500], [0.8750, 0.8523, 0.7500], [0.1477, 0.6250, 0.2500], [0.2500, 0.7500, 0.5000], [0.5000, 0.5000, 0.0000], [0.7500, 0.2500, 0.5000], [0.0000, 0.0000, 0.0000]]
}

{
  "formula": "Pa2Al5Cu12",
  "functional": "GGA-PBE",
  "state": "optimized geometry",
  "delta_e_f_mev_per_atom": -172,
  "lattice_angstrom": [[-4.6958, -1.7952, 4.2162], [1.3028, -6.4305, -0.0316], [3.7445, -0.0910, 5.3871]],
  "species": ["Cu", "Cu", "Cu", "Cu", "Cu", "Cu", "Cu", "Cu", "Cu", "Cu", "Cu", "Cu", "Pa", "Pa", "Al", "Al", "Al", "Al", "Al"],
  "fractional_positions": [[0.0000, 0.2978, 0.7022], [0.3493, 0.8451, 0.3493], [0.6507, 0.1549, 0.6507], [0.7022, 0.0000, 0.2978], [0.7022, 0.2978, 0.0000], [0.0000, 0.7022, 0.2978], [0.2978, 0.7022, 0.0000], [0.6507, 0.6507, 0.1549], [0.1549, 0.6507, 0.6507], [0.8451, 0.3493, 0.3493], [0.3493, 0.3493, 0.8451], [0.2978, 0.0000, 0.7022], [0.6544, 0.6544, 0.6544], [0.3456, 0.3456, 0.3456], [0.0000, 0.0000, 0.5000], [0.1002, 0.1002, 0.1002], [0.0000, 0.5000, 0.0000], [0.5000, 0.0000, 0.0000], [0.8998, 0.8998, 0.8998]]
}

{
  "formula": "ZnSbOs2",
  "functional": "GGA-PBE",
  "state": "optimized geometry",
  "raw_formation_energy_mev_per_atom": 694,
  "polymorph_energy_mev_per_atom": 353,
  "lattice_angstrom": [[-1.5509, -1.3363, -4.0299], [2.7863, -2.0003, -2.9440], [-0.4490, -4.4066, -0.9009]],
  "species": ["Sb", "Os", "Os", "Zn"],
  "fractional_positions": [[0.5000, 0.5000, 0.5000], [0.0000, 0.0000, 0.0000], [0.2500, 0.2500, 0.2500], [0.7500, 0.7500, 0.7500]]
}

no.,uncorrected energy (eV/atom)
1,-6.15
2,-4.74
3,-6.27